[1]
The following is a PBE calculation of a geometry-optimized PuScInGe structure, from Alexandria via LeMat-Bulk.

Electronic total energy = -7.320 eV per atom
Formation energy = -0.315 eV per atom

Cell lengths 5.0616, 5.0616, 5.0616 Å; angles 60.00, 60.00, 60.00 degrees
Last column: magnetic moment on the atom in μB.
Atoms (fractional coordinates):
1 Sc 0.7500 0.7500 0.7500  0.25
2 Pu 0.2500 0.2500 0.2500  5.34
3 In 0.0000 0.0000 0.0000  0.00
4 Ge 0.5000 0.5000 0.5000  -0.04



[2]
The following is a PBE calculation of a geometry-optimized PuInSnGe structure, from Alexandria via LeMat-Bulk.

Electronic total energy = -6.734 eV per atom
Formation energy = -0.311 eV per atom

Cell lengths 4.3592, 4.4590, 4.7986 Å; angles 90.00, 90.00, 90.00 degrees
Last column: magnetic moment on the atom in μB.
Atoms (fractional coordinates):
1 Ge 0.0000 0.0000 0.0000  0.02
2 Pu 0.5000 0.5000 0.0000  -5.25
3 In 0.5000 0.0000 0.5000  -0.02
4 Sn 0.0000 0.5000 0.5000  0.00



[3]
The following is a PBE calculation of a geometry-optimized SrPuInGe structure, from Alexandria via LeMat-Bulk.

Electronic total energy = -6.055 eV per atom
Formation energy = -0.213 eV per atom

Cell lengths 5.4126, 5.4126, 5.4126 Å; angles 60.00, 60.00, 60.00 degrees
Last column: magnetic moment on the atom in μB.
Atoms (fractional coordinates):
1 Ge 0.2500 0.2500 0.2500  -0.04
2 Sr 0.5000 0.5000 0.5000  0.01
3 Pu 0.0000 0.0000 0.0000  5.46
4 In 0.7500 0.7500 0.7500  0.01



[4]
The following is a PBE calculation of a geometry-optimized YPuInGe structure, from Alexandria via LeMat-Bulk.

Electronic total energy = -7.383 eV per atom
Formation energy = -0.345 eV per atom

Cell lengths 5.2072, 5.2072, 5.2072 Å; angles 60.00, 60.00, 60.00 degrees
Last column: magnetic moment on the atom in μB.
Atoms (fractional coordinates):
1 In 0.7500 0.7500 0.7500  0.00
2 Pu 0.0000 0.0000 0.0000  5.39
3 Y 0.5000 0.5000 0.5000  0.15
4 Ge 0.2500 0.2500 0.2500  -0.04



[5]
The following is a PBE calculation of a geometry-optimized RbIn4Ge structure, from Alexandria via LeMat-Bulk.

Electronic total energy = -2.770 eV per atom
Formation energy = -0.014 eV per atom

Cell lengths 4.6184, 8.5386, 9.4287 Å; angles 90.00, 104.18, 90.00 degrees
Atoms (fractional coordinates):
1 In 0.6753 0.5524 0.3506
2 In 0.6753 0.9476 0.3506
3 In 0.5000 0.5000 0.0000
4 In 0.5000 0.0000 0.0000
5 In 0.0626 0.7500 0.1252
6 In 0.3247 0.0524 0.6494
7 In 0.9374 0.2500 0.8748
8 In 0.3247 0.4476 0.6494
9 Rb 0.1282 0.2500 0.2565
10 Rb 0.8718 0.7500 0.7435
11 Ge 0.2203 0.7500 0.4407
12 Ge 0.7797 0.2500 0.5593



[6]
The following is a PBE calculation of a geometry-optimized RbInGe3 structure, from Alexandria via LeMat-Bulk.

Electronic total energy = -2.981 eV per atom
ΔE to the lowest computed polymorph = 0.000 eV/atom
Formation energy = 0.531 eV per atom

Cell lengths 5.4800, 5.4800, 5.4800 Å; angles 90.00, 90.00, 90.00 degrees
Atoms (fractional coordinates):
1 Ge 0.0000 0.0000 0.5000
2 Ge 0.5000 0.0000 0.0000
3 Ge 0.0000 0.5000 0.0000
4 In 0.0000 0.0000 0.0000
5 Rb 0.5000 0.5000 0.5000